[1]
The following is a DFT calculation (PBE) of Ac2MgSn4Rh3 after structural relaxation.

Cell lengths 4.604, 4.604, 11.292 Å; angles 90.00, 90.00, 90.00 degrees
Space group P-4m2 (No. 115)
Inequivalent atoms, fractional coordinates:
Ac  0.000  0.500  0.242 [2 per cell]
Mg  0.000  0.000  0.500 [1 per cell]
Sn  0.000  0.000  0.000 [1 per cell]
Sn  0.000  0.500  0.640 [2 per cell]
Sn  0.500  0.500  0.000 [1 per cell]
Rh  0.000  0.500  0.875 [2 per cell]
Rh  0.500  0.500  0.500 [1 per cell]

---

[2]
The following is a DFT calculation (PBE) of AcTbMgRh after structural relaxation.

Cell lengths 7.492, 7.492, 7.492 Å; angles 90.00, 90.00, 90.00 degrees
Space group F-43m (No. 216)
Inequivalent atoms, fractional coordinates:
Ac  0.000  0.000  0.000 [4 per cell]
Tb  0.000  0.000  0.500 [4 per cell]
Mg  0.250  0.250  0.750 [4 per cell]
Rh  0.250  0.250  0.250 [4 per cell]

---

[3]
The following is a DFT calculation (PBE) of AcMgTlRh after structural relaxation.

Cell lengths 7.393, 7.393, 7.393 Å; angles 90.00, 90.00, 90.00 degrees
Space group F-43m (No. 216)
Inequivalent atoms, fractional coordinates:
Ac  0.000  0.000  0.000 [4 per cell]
Mg  0.000  0.000  0.500 [4 per cell]
Tl  0.250  0.250  0.750 [4 per cell]
Rh  0.250  0.250  0.250 [4 per cell]

---

[4]
The following is a DFT calculation (PBE) of Ac2MgTlRh after structural relaxation.

Cell lengths 8.474, 4.410, 8.600 Å; angles 90.00, 110.14, 90.00 degrees
Space group P2_1/m (No. 11)
Inequivalent atoms, fractional coordinates:
Ac  0.099  0.250  0.335 [2 per cell]
Ac  0.279  0.250  0.978 [2 per cell]
Mg  0.433  0.750  0.345 [2 per cell]
Tl  0.324  0.750  0.670 [2 per cell]
Rh  0.117  0.750  0.103 [2 per cell]

---

| no. | ΔE_f (eV/f.u.) | DFT total energy (eV per atom) |
| --- | --- | --- |
| 1 | -6.712 | -5.4589 |
| 2 | -1.023 | -4.6769 |
| 3 | -0.813 | -4.0585 |
| 4 | -2.389 | -4.3836 |